This record from Alexandria describes a relaxed Mg2MoPd2 crystal. The functional is PBE.

```
data_Mg2MoPd2
_cell_length_a 7.591
_cell_length_b 7.591
_cell_length_c 2.849
_cell_angle_alpha 90.00
_cell_angle_beta 90.00
_cell_angle_gamma 90.00
_space_group_name_H-M_alt 'P 1'
_space_group_IT_number 1
_space_group_name_Hall 'P 1'
loop_
_atom_site_label
_atom_site_type_symbol
_atom_site_fract_x
_atom_site_fract_y
_atom_site_fract_z
Mg1 Mg 0.160 0.340 0.000
Mg2 Mg 0.340 0.840 0.000
Mg3 Mg 0.660 0.160 0.000
Mg4 Mg 0.840 0.660 0.000
Mo1 Mo 0.000 0.000 0.500
Mo2 Mo 0.500 0.500 0.500
Pd1 Pd 0.138 0.638 0.500
Pd2 Pd 0.362 0.138 0.500
Pd3 Pd 0.638 0.862 0.500
Pd4 Pd 0.862 0.362 0.500
```

Summary:
ΔE_f: -0.080 eV per atom
DOS(E_F): 0.828 states/eV/atom
polymorph energy (0 for the lowest one): 0 meV/atom
theoretical density: 7.2 g/cm³

This record from Alexandria describes a relaxed MgMoPd3 crystal. The functional is PBE.

```
data_MgMoPd3
_cell_length_a 4.813
_cell_length_b 4.813
_cell_length_c 4.813
_cell_angle_alpha 90.00
_cell_angle_beta 90.00
_cell_angle_gamma 90.00
_space_group_name_H-M_alt 'P 1'
_space_group_IT_number 1
_space_group_name_Hall 'P 1'
loop_
_atom_site_label
_atom_site_type_symbol
_atom_site_fract_x
_atom_site_fract_y
_atom_site_fract_z
Mg1 Mg 0.000 0.000 0.000
Mo1 Mo 0.500 0.500 0.500
Pd1 Pd 0.000 0.500 0.500
Pd2 Pd 0.500 0.000 0.500
Pd3 Pd 0.500 0.500 0.000
```

Summary:
ΔE_f: 0.801 eV per atom
DOS(E_F): 0.892 states/eV/atom
polymorph energy (0 for the lowest one): 0 meV/atom
theoretical density: 6.5 g/cm³

This record from Alexandria describes a relaxed Mg3MoPd12 crystal. The functional is PBE.

```
data_Mg3MoPd12
_cell_length_a 3.953
_cell_length_b 3.953
_cell_length_c 15.891
_cell_angle_alpha 90.00
_cell_angle_beta 90.00
_cell_angle_gamma 90.00
_space_group_name_H-M_alt 'P 1'
_space_group_IT_number 1
_space_group_name_Hall 'P 1'
loop_
_atom_site_label
_atom_site_type_symbol
_atom_site_fract_x
_atom_site_fract_y
_atom_site_fract_z
Mg1 Mg 0.000 0.000 0.000
Mg2 Mg 0.000 0.000 0.249
Mg3 Mg 0.000 0.000 0.751
Mo1 Mo 0.000 0.000 0.500
Pd1 Pd 0.000 0.500 0.125
Pd2 Pd 0.000 0.500 0.380
Pd3 Pd 0.000 0.500 0.620
Pd4 Pd 0.000 0.500 0.875
Pd5 Pd 0.500 0.000 0.125
Pd6 Pd 0.500 0.000 0.380
Pd7 Pd 0.500 0.000 0.620
Pd8 Pd 0.500 0.000 0.875
Pd9 Pd 0.500 0.500 0.000
Pd10 Pd 0.500 0.500 0.253
Pd11 Pd 0.500 0.500 0.500
Pd12 Pd 0.500 0.500 0.747
```

Summary:
ΔE_f: -0.384 eV per atom
DOS(E_F): 1.030 states/eV/atom
theoretical density: 9.7 g/cm³

This record from Alexandria describes a relaxed MgMoPd2 crystal. The functional is PBE.

```
data_MgMoPd2
_cell_length_a 9.232
_cell_length_b 9.232
_cell_length_c 9.232
_cell_angle_alpha 155.14
_cell_angle_beta 155.14
_cell_angle_gamma 35.44
_space_group_name_H-M_alt 'P 1'
_space_group_IT_number 1
_space_group_name_Hall 'P 1'
loop_
_atom_site_label
_atom_site_type_symbol
_atom_site_fract_x
_atom_site_fract_y
_atom_site_fract_z
Mg1 Mg 0.000 0.000 0.000
Mg2 Mg 0.750 0.250 0.500
Mo1 Mo 0.250 0.750 0.500
Mo2 Mo 0.500 0.500 0.000
Pd1 Pd 0.128 0.625 0.003
Pd2 Pd 0.375 0.378 0.503
Pd3 Pd 0.622 0.125 0.997
Pd4 Pd 0.875 0.872 0.497
```

Summary:
ΔE_f: 0.382 eV per atom
DOS(E_F): 0.841 states/eV/atom
theoretical density: 8.0 g/cm³

This record from Alexandria describes a relaxed MgSnMoPd2 crystal. The functional is PBE.

```
data_MgSnMoPd2
_cell_length_a 4.938
_cell_length_b 4.938
_cell_length_c 5.087
_cell_angle_alpha 90.00
_cell_angle_beta 90.00
_cell_angle_gamma 90.00
_space_group_name_H-M_alt 'P 1'
_space_group_IT_number 1
_space_group_name_Hall 'P 1'
loop_
_atom_site_label
_atom_site_type_symbol
_atom_site_fract_x
_atom_site_fract_y
_atom_site_fract_z
Mg1 Mg 0.000 0.000 0.000
Sn1 Sn 0.500 0.500 0.500
Mo1 Mo 0.500 0.500 0.000
Pd1 Pd 0.000 0.500 0.500
Pd2 Pd 0.500 0.000 0.500
```

Summary:
ΔE_f: 0.839 eV per atom
DOS(E_F): 0.590 states/eV/atom
theoretical density: 6.0 g/cm³

This record from Alexandria describes a relaxed MgTe2MoPd crystal. The functional is PBE.

```
data_MgTe2MoPd
_cell_length_a 5.249
_cell_length_b 5.249
_cell_length_c 4.979
_cell_angle_alpha 90.00
_cell_angle_beta 90.00
_cell_angle_gamma 90.00
_space_group_name_H-M_alt 'P 1'
_space_group_IT_number 1
_space_group_name_Hall 'P 1'
loop_
_atom_site_label
_atom_site_type_symbol
_atom_site_fract_x
_atom_site_fract_y
_atom_site_fract_z
Mg1 Mg 0.000 0.000 0.000
Te1 Te 0.000 0.500 0.500
Te2 Te 0.500 0.000 0.500
Mo1 Mo 0.500 0.500 0.500
Pd1 Pd 0.500 0.500 0.000
```

Summary:
energy relative to the elements, uncorrected: 214 kJ/mol of formula units
DOS(E_F): 0.929 states/eV/atom
theoretical density: 5.8 g/cm³

This record from Alexandria describes a relaxed Mg2ZrMoPd crystal. The functional is PBE.

```
data_Mg2ZrMoPd
_cell_length_a 4.762
_cell_length_b 4.762
_cell_length_c 5.126
_cell_angle_alpha 90.00
_cell_angle_beta 90.00
_cell_angle_gamma 90.00
_space_group_name_H-M_alt 'P 1'
_space_group_IT_number 1
_space_group_name_Hall 'P 1'
loop_
_atom_site_label
_atom_site_type_symbol
_atom_site_fract_x
_atom_site_fract_y
_atom_site_fract_z
Mg1 Mg 0.000 0.500 0.000
Mg2 Mg 0.500 0.000 0.000
Zr1 Zr 0.000 0.000 0.500
Mo1 Mo 0.500 0.500 0.500
Pd1 Pd 0.000 0.000 0.000
```

Summary:
ΔE_f: 0.665 eV per atom
DOS(E_F): 0.835 states/eV/atom
theoretical density: 4.9 g/cm³

This record from Alexandria describes a relaxed MgMoPt2 crystal. The functional is PBE.

```
data_MgMoPt2
_cell_length_a 2.809
_cell_length_b 3.965
_cell_length_c 5.658
_cell_angle_alpha 90.00
_cell_angle_beta 90.00
_cell_angle_gamma 90.00
_space_group_name_H-M_alt 'P 1'
_space_group_IT_number 1
_space_group_name_Hall 'P 1'
loop_
_atom_site_label
_atom_site_type_symbol
_atom_site_fract_x
_atom_site_fract_y
_atom_site_fract_z
Mg1 Mg 0.000 0.000 0.000
Mo1 Mo 0.000 0.000 0.500
Pt1 Pt 0.500 0.500 0.257
Pt2 Pt 0.500 0.500 0.743
```

Summary:
ΔE_f: -0.422 eV per atom
DOS(E_F): 0.797 states/eV/atom
theoretical density: 13.5 g/cm³

What is the DOS(E_F) in the second record?
0.892 states/eV/atom

What is the formula in the third record?
Mg3MoPd12